No. 1
# RbCuGe

A relaxed structure of RbCuGe (PBE-GGA, the Open Quantum Materials Database).

Its calculated volume is 30.50 A^3/atom. Its relative energy among the computed polymorphs is 0.34 eV per formula unit.

POSCAR file:
```
RbCuGe
1.0
0.000 3.577 3.577
3.577 0.000 3.577
3.577 3.577 0.000
Cu Ge Rb
1 1 1
direct
0.250 0.250 0.250
0.000 0.000 0.000
0.750 0.750 0.750
```

No. 2
# RbCuGe

A relaxed structure of RbCuGe (PBE-GGA, the Open Quantum Materials Database).

Its calculated volume is 34.29 A^3/atom. Its relative energy among the computed polymorphs is 1.66 eV per formula unit.

POSCAR file:
```
RbCuGe
1.0
0.000 3.719 3.719
3.719 0.000 3.719
3.719 3.719 0.000
Rb Cu Ge
1 1 1
direct
0.000 0.000 0.000
0.250 0.250 0.250
0.750 0.750 0.750
```

Copy entry 2 word for word.
# RbCuGe

A relaxed structure of RbCuGe (PBE-GGA, the Open Quantum Materials Database).

Its calculated volume is 34.29 A^3/atom. Its relative energy among the computed polymorphs is 1.66 eV per formula unit.

POSCAR file:
```
RbCuGe
1.0
0.000 3.719 3.719
3.719 0.000 3.719
3.719 3.719 0.000
Rb Cu Ge
1 1 1
direct
0.000 0.000 0.000
0.250 0.250 0.250
0.750 0.750 0.750
```